Compound: CaZrInAg
Source: the Alexandria database
Functional: GGA-PBE
Structure: optimized geometry

As for the volume: 23.77 Å³ per atom. Its formation energy is -0.14 eV/atom. For the density of states at the Fermi level, the calculation gives 2.535 states/eV/f.u. As for the density: 6.18 g cm⁻³.

The structure belongs to space group F-43m (No. 216); the cell edges are 7.245, 7.245 and 7.245 Å and the angles 90.00°, 90.00° and 90.00°. The distinct sites, in fractional coordinates, are Ca at (0.000, 0.000, 0.000), Zr at (0.000, 0.000, 0.500), In at (0.250, 0.250, 0.750) and Ag at (0.250, 0.250, 0.250).